Entry 1:
Density functional theory data (PBEsol) for a geometry-optimized KZnP2H5O9 structure.

Calculated values
Electronic total energy (eV/atom): -6.056
D(E_F) (states/eV/f.u.): 0.00

Cell lengths 7.585, 7.833, 7.813 Å; angles 64.40, 85.01, 73.02 degrees
Element x y z (fractional)
K  0.153  0.765  0.218
K  0.847  0.235  0.782
Zn  0.255  0.234  0.027
Zn  0.745  0.766  0.973
P  0.614  0.950  0.259
P  0.386  0.050  0.741
P  0.920  0.320  0.262
P  0.080  0.680  0.738
H  0.440  0.535  0.734
H  0.560  0.465  0.266
H  0.548  0.682  0.728
H  0.452  0.318  0.272
H  0.152  0.269  0.439
H  0.848  0.731  0.561
H  0.796  0.071  0.431
H  0.204  0.929  0.569
H  0.525  0.695  0.482
H  0.475  0.305  0.518
O  0.734  0.919  0.425
O  0.515  0.783  0.329
O  0.265  0.060  0.908
O  0.485  0.217  0.671
O  0.242  0.501  0.848
O  0.758  0.499  0.152
O  0.157  0.820  0.556
O  0.843  0.180  0.444
O  0.469  0.155  0.191
O  0.531  0.845  0.809
O  0.020  0.212  0.143
O  0.980  0.788  0.857
O  0.945  0.607  0.661
O  0.055  0.393  0.339
O  0.449  0.419  0.322
O  0.551  0.581  0.678
O  0.735  0.940  0.092
O  0.266  0.081  0.575


Entry 2:
Density functional theory data (PBEsol) for a geometry-optimized KZrP2HO8 structure.

Calculated values
Electronic total energy (eV/atom): -7.657
D(E_F) (states/eV/f.u.): 0.00

Cell lengths 5.377, 9.269, 15.304 Å; angles 99.94, 90.00, 90.00 degrees
Element x y z (fractional)
H  0.505  0.998  0.249
H  0.505  0.502  0.251
H  0.495  0.002  0.751
H  0.495  0.498  0.749
K  0.032  0.750  0.250
K  0.968  0.250  0.750
K  0.974  0.250  0.250
K  0.026  0.750  0.750
O  0.769  0.104  0.089
O  0.769  0.396  0.411
O  0.231  0.896  0.911
O  0.231  0.604  0.589
O  0.487  0.881  0.069
O  0.487  0.619  0.431
O  0.513  0.119  0.931
O  0.513  0.381  0.569
O  0.951  0.854  0.084
O  0.951  0.646  0.416
O  0.049  0.146  0.916
O  0.049  0.354  0.584
O  0.514  0.382  0.070
O  0.514  0.118  0.430
O  0.486  0.618  0.930
O  0.486  0.882  0.570
O  0.771  0.396  0.912
O  0.771  0.104  0.588
O  0.229  0.604  0.088
O  0.229  0.896  0.412
O  0.051  0.353  0.084
O  0.051  0.147  0.416
O  0.949  0.647  0.916
O  0.949  0.853  0.584
O  0.701  0.968  0.216
O  0.701  0.532  0.284
O  0.299  0.032  0.784
O  0.299  0.468  0.716
O  0.300  0.030  0.284
O  0.300  0.470  0.216
O  0.700  0.970  0.716
O  0.700  0.530  0.784
P  0.724  0.952  0.113
P  0.724  0.548  0.387
P  0.276  0.048  0.887
P  0.276  0.452  0.613
P  0.277  0.452  0.114
P  0.277  0.048  0.386
P  0.723  0.548  0.886
P  0.723  0.952  0.614
Zr  0.777  0.251  0.000
Zr  0.777  0.249  0.500
Zr  0.223  0.749  0.000
Zr  0.223  0.751  0.500


Entry 3:
Density functional theory data (PBEsol) for a geometry-optimized K2H2RuO5 structure.

Calculated values
Electronic total energy (eV/atom): -5.796

Cell lengths 6.686, 7.892, 10.391 Å; angles 90.00, 90.00, 90.00 degrees
Element x y z (fractional)
K  0.862  0.397  0.545
K  0.638  0.603  0.045
K  0.138  0.897  0.955
K  0.362  0.103  0.455
K  0.458  0.761  0.686
K  0.042  0.239  0.186
K  0.542  0.261  0.814
K  0.958  0.739  0.314
H  0.847  0.078  0.400
H  0.653  0.922  0.900
H  0.153  0.578  0.100
H  0.347  0.422  0.600
H  0.655  0.279  0.295
H  0.845  0.721  0.795
H  0.345  0.779  0.205
H  0.155  0.221  0.705
Ru  0.401  0.559  0.381
Ru  0.099  0.441  0.881
Ru  0.599  0.059  0.119
Ru  0.901  0.941  0.619
O  0.808  0.923  0.129
O  0.692  0.077  0.629
O  0.192  0.423  0.371
O  0.308  0.577  0.871
O  0.971  0.041  0.448
O  0.529  0.959  0.948
O  0.029  0.541  0.052
O  0.471  0.459  0.552
O  0.141  0.999  0.678
O  0.359  0.001  0.178
O  0.859  0.499  0.822
O  0.641  0.501  0.322
O  0.139  0.238  0.942
O  0.361  0.762  0.442
O  0.861  0.738  0.558
O  0.639  0.262  0.058
O  0.824  0.846  0.796
O  0.676  0.154  0.296
O  0.176  0.346  0.704
O  0.324  0.654  0.204


Entry 4:
Density functional theory data (PBEsol) for a geometry-optimized KVH6SO9 structure.

Calculated values
Electronic total energy (eV/atom): -6.063
D(E_F) (states/eV/f.u.): 0.00

Cell lengths 6.185, 6.437, 9.634 Å; angles 90.00, 90.00, 107.23 degrees
Element x y z (fractional)
K  0.688  0.182  0.846
K  0.312  0.818  0.346
V  0.378  0.616  0.997
V  0.622  0.384  0.497
H  0.228  0.304  0.783
H  0.819  0.832  0.419
H  0.535  0.656  0.731
H  0.465  0.344  0.231
H  0.966  0.689  0.647
H  0.034  0.311  0.147
H  0.112  0.934  0.654
H  0.772  0.696  0.283
H  0.696  0.260  0.228
H  0.181  0.168  0.919
H  0.304  0.740  0.728
H  0.888  0.066  0.154
S  0.915  0.733  0.995
S  0.085  0.267  0.495
O  0.955  0.927  0.909
O  0.063  0.597  0.949
O  0.937  0.403  0.449
O  0.453  0.863  0.057
O  0.319  0.421  0.471
O  0.053  0.214  0.644
O  0.045  0.073  0.409
O  0.435  0.721  0.789
O  0.289  0.301  0.879
O  0.547  0.137  0.557
O  0.681  0.579  0.971
O  0.947  0.786  0.144
O  0.876  0.213  0.137
O  0.312  0.462  0.139
O  0.124  0.787  0.637
O  0.565  0.279  0.289
O  0.711  0.699  0.379
O  0.688  0.538  0.639


Entry 5:
Density functional theory data (PBEsol) for a geometry-optimized K4H6W2S2O9 structure.

Calculated values
Electronic total energy (eV/atom): -6.240
D(E_F) (states/eV/f.u.): 0.00

Cell lengths 6.418, 6.418, 18.574 Å; angles 82.73, 82.73, 80.49 degrees
Element x y z (fractional)
K  0.197  0.216  0.215
K  0.784  0.803  0.285
K  0.803  0.784  0.785
K  0.216  0.197  0.715
K  0.130  0.742  0.061
K  0.258  0.870  0.439
K  0.870  0.258  0.939
K  0.742  0.130  0.561
H  0.784  0.719  0.466
H  0.281  0.216  0.034
H  0.216  0.281  0.534
H  0.719  0.784  0.966
H  0.924  0.549  0.420
H  0.451  0.076  0.080
H  0.076  0.451  0.580
H  0.549  0.924  0.920
H  0.294  0.717  0.291
H  0.283  0.706  0.209
H  0.706  0.283  0.709
H  0.717  0.294  0.791
W  0.691  0.457  0.120
W  0.543  0.309  0.380
W  0.309  0.543  0.880
W  0.457  0.691  0.620
S  0.104  0.752  0.622
S  0.248  0.896  0.878
S  0.896  0.248  0.378
S  0.752  0.104  0.122
O  0.863  0.537  0.176
O  0.463  0.137  0.324
O  0.137  0.463  0.824
O  0.537  0.863  0.676
O  0.754  0.574  0.029
O  0.426  0.246  0.471
O  0.246  0.426  0.971
O  0.574  0.754  0.529
O  0.418  0.543  0.150
O  0.457  0.582  0.350
O  0.582  0.457  0.850
O  0.543  0.418  0.650
O  0.907  0.701  0.427
O  0.299  0.093  0.073
O  0.093  0.299  0.573
O  0.701  0.907  0.927
O  0.212  0.788  0.250
O  0.788  0.212  0.750


Entry 6:
Density functional theory data (PBEsol) for a geometry-optimized KH3Se2O8 structure.

Calculated values
Electronic total energy (eV/atom): -5.270
D(E_F) (states/eV/f.u.): 0.00

Cell lengths 7.847, 8.831, 11.961 Å; angles 90.00, 90.00, 111.53 degrees
Element x y z (fractional)
K  0.854  0.947  0.755
K  0.146  0.553  0.255
K  0.146  0.053  0.245
K  0.854  0.447  0.745
H  0.229  0.498  0.585
H  0.771  0.002  0.085
H  0.771  0.502  0.415
H  0.229  0.998  0.915
H  0.338  0.196  0.566
H  0.662  0.304  0.066
H  0.662  0.804  0.434
H  0.338  0.696  0.934
H  0.242  0.842  0.627
H  0.758  0.658  0.127
H  0.758  0.158  0.373
H  0.242  0.342  0.873
Se  0.059  0.257  0.501
Se  0.941  0.243  0.001
Se  0.941  0.743  0.499
Se  0.059  0.757  0.999
Se  0.426  0.073  0.717
Se  0.574  0.427  0.217
Se  0.574  0.927  0.283
Se  0.426  0.573  0.783
O  0.956  0.239  0.378
O  0.044  0.261  0.878
O  0.044  0.761  0.622
O  0.956  0.739  0.122
O  0.927  0.216  0.611
O  0.073  0.284  0.111
O  0.073  0.784  0.389
O  0.927  0.716  0.889
O  0.195  0.150  0.494
O  0.805  0.350  0.994
O  0.805  0.850  0.506
O  0.195  0.650  0.006
O  0.198  0.462  0.502
O  0.802  0.038  0.002
O  0.802  0.538  0.498
O  0.198  0.962  0.998
O  0.241  0.042  0.794
O  0.759  0.458  0.294
O  0.759  0.958  0.206
O  0.241  0.542  0.706
O  0.619  0.117  0.781
O  0.381  0.383  0.281
O  0.381  0.883  0.219
O  0.619  0.617  0.719
O  0.453  0.230  0.626
O  0.547  0.270  0.126
O  0.547  0.770  0.374
O  0.453  0.730  0.874
O  0.387  0.903  0.636
O  0.613  0.597  0.136
O  0.613  0.097  0.364
O  0.387  0.403  0.864


Entry 7:
Density functional theory data (PBEsol) for a geometry-optimized KH3Se2O6 structure.

Calculated values
Electronic total energy (eV/atom): -5.263
D(E_F) (states/eV/f.u.): 0.00

Cell lengths 6.208, 6.299, 15.873 Å; angles 90.00, 90.00, 90.00 degrees
Element x y z (fractional)
H  0.552  0.528  0.171
H  0.948  0.028  0.329
H  0.552  0.972  0.829
H  0.948  0.472  0.671
H  0.448  0.472  0.829
H  0.052  0.972  0.671
H  0.448  0.028  0.171
H  0.052  0.528  0.329
H  0.878  0.750  0.000
H  0.622  0.250  0.500
H  0.122  0.250  0.000
H  0.378  0.750  0.500
K  0.811  0.750  0.500
K  0.689  0.250  0.000
K  0.189  0.250  0.500
K  0.311  0.750  0.000
O  0.605  0.935  0.112
O  0.895  0.435  0.388
O  0.605  0.565  0.888
O  0.895  0.065  0.612
O  0.395  0.065  0.888
O  0.105  0.565  0.612
O  0.395  0.435  0.112
O  0.105  0.935  0.388
O  0.889  0.647  0.065
O  0.611  0.147  0.435
O  0.889  0.853  0.935
O  0.611  0.353  0.565
O  0.111  0.353  0.935
O  0.389  0.853  0.565
O  0.111  0.147  0.065
O  0.389  0.647  0.435
O  0.675  0.592  0.209
O  0.825  0.092  0.291
O  0.675  0.908  0.791
O  0.825  0.408  0.709
O  0.325  0.408  0.791
O  0.175  0.908  0.709
O  0.325  0.092  0.209
O  0.175  0.592  0.291
Se  0.811  0.793  0.153
Se  0.689  0.293  0.347
Se  0.811  0.707  0.847
Se  0.689  0.207  0.653
Se  0.189  0.207  0.847
Se  0.311  0.707  0.653
Se  0.189  0.293  0.153
Se  0.311  0.793  0.347


Entry 8:
Density functional theory data (PBEsol) for a geometry-optimized K4H5Se4O16 structure.

Calculated values
Electronic total energy (eV/atom): -5.208
D(E_F) (states/eV/f.u.): 5.11

Cell lengths 7.518, 7.793, 7.822 Å; angles 72.08, 86.64, 85.18 degrees
Element x y z (fractional)
K  0.670  0.184  0.341
K  0.330  0.816  0.659
K  0.036  0.751  0.213
K  0.964  0.249  0.787
H  0.253  0.430  0.035
H  0.747  0.570  0.965
H  0.646  0.011  0.081
H  0.354  0.989  0.919
H  0.500  0.500  0.500
Se  0.133  0.213  0.281
Se  0.867  0.787  0.719
Se  0.531  0.719  0.192
Se  0.469  0.281  0.808
O  0.007  0.251  0.446
O  0.993  0.749  0.554
O  0.320  0.108  0.813
O  0.680  0.892  0.187
O  0.322  0.092  0.342
O  0.678  0.908  0.658
O  0.429  0.639  0.404
O  0.571  0.361  0.596
O  0.371  0.806  0.039
O  0.629  0.194  0.961
O  0.664  0.548  0.154
O  0.336  0.452  0.846
O  0.018  0.134  0.151
O  0.982  0.866  0.849
O  0.189  0.432  0.156
O  0.811  0.568  0.844